(1)
# NdTmN

A geometry-optimized NdTmN structure (PBE, Alexandria via LeMat-Bulk).

```
NdTmN
1.0
3.310 -0.357 -0.511
-1.015 4.726 1.208
-1.015 -0.487 4.854
Nd Tm N
1 1 1
Cartesian
-1.491 4.115 5.883
1.134 1.683 2.406
2.527 0.706 1.010
```

* excess energy over the best structure of this formula in the dataset: 476 meV/atom
* E_tot: -6.3477 eV/atom



(2)
# NdTmN2

A geometry-optimized NdTmN2 structure (PBE, Alexandria via LeMat-Bulk).

```
NdTmN2
1.0
-1.375 -1.574 -2.764
2.972 -1.158 1.353
-3.131 -3.733 3.684
N Nd Tm
2 1 1
Cartesian
-0.834 -4.869 2.102
-0.700 -1.596 0.171
-0.079 -2.445 2.518
1.486 -0.579 0.676
```

* E_tot: -7.6781 eV/atom



(3)
# NdTm3N

A geometry-optimized NdTm3N structure (PBE, Alexandria via LeMat-Bulk).

```
NdTm3N
1.0
4.913 0.000 0.000
0.000 4.913 0.000
0.000 0.000 4.913
Tm N Nd
3 1 1
Cartesian
2.457 0.000 0.000
0.000 2.457 0.000
0.000 0.000 2.457
0.000 0.000 0.000
2.457 2.457 2.457
```

* E_tot: -5.8129 eV/atom